Record 1
SmTh2Pb9: relaxed, GGA-PBE.

Energy = -56.09 eV per formula unit
Size of the total moment = 0.000 μB/cell

Unit cell a=4.909 b=4.909 c=14.724 alpha=90.00 beta=90.00 gamma=90.00
Space group P4/mmm (No. 123)
Inequivalent atoms, fractional coordinates:
Sm (0.000, 0.000, 0.000) (multiplicity 1)
Th (0.000, 0.000, 0.336) (multiplicity 2)
Pb (0.000, 0.500, 0.166) (multiplicity 4)
Pb (0.000, 0.500, 0.500) (multiplicity 2)
Pb (0.500, 0.500, 0.000) (multiplicity 1)
Pb (0.500, 0.500, 0.332) (multiplicity 2)

Record 2
SrCaLa2Ir: relaxed, GGA-PBE.

Distance to the lowest polymorph of the same formula = 0 meV/atom
Size of the total moment = 0.000 μB/cell

Unit cell a=5.668 b=5.668 c=5.925 alpha=90.00 beta=90.00 gamma=90.00
Space group P4/mmm (No. 123)
Inequivalent atoms, fractional coordinates:
Sr (0.000, 0.000, 0.000) (multiplicity 1)
Ca (0.500, 0.500, 0.000) (multiplicity 1)
La (0.000, 0.500, 0.500) (multiplicity 2)
Ir (0.500, 0.500, 0.500) (multiplicity 1)

Record 3
Ga2Ag5Au12: relaxed, GGA-PBE.

Distance to the lowest polymorph of the same formula = 6 meV/atom
Size of the total moment = 0.000 μB/cell

Unit cell a=12.687 b=8.810 c=6.235 alpha=90.00 beta=90.50 gamma=90.00
Space group C2/m (No. 12)
Inequivalent atoms, fractional coordinates:
Ga (0.000, 0.240, 0.000) (multiplicity 4)
Ag (0.000, 0.500, 0.500) (multiplicity 2)
Ag (0.176, 0.000, 0.914) (multiplicity 4)
Ag (0.238, 0.500, 0.521) (multiplicity 4)
Au (0.046, 0.000, 0.285) (multiplicity 4)
Au (0.105, 0.235, 0.621) (multiplicity 8)
Au (0.110, 0.500, 0.914) (multiplicity 4)
Au (0.186, 0.258, 0.200) (multiplicity 8)

Record 4
TcAgB2Au: relaxed, GGA-PBE.

Energy = -21.57 eV per formula unit
Size of the total moment = 3.286 μB/cell

Unit cell a=4.068 b=4.068 c=5.514 alpha=90.00 beta=90.00 gamma=90.00
Space group P4/mmm (No. 123)
Inequivalent atoms, fractional coordinates:
Tc (0.000, 0.000, 0.000) (multiplicity 1)
Ag (0.500, 0.500, 0.000) (multiplicity 1)
B (0.000, 0.500, 0.500) (multiplicity 2)
Au (0.000, 0.000, 0.500) (multiplicity 1)

Record 5
LaNdInHg: relaxed, GGA-PBE.

Energy = -14.67 eV per formula unit
Size of the total moment = 3.093 μB/cell

Unit cell a=7.815 b=7.815 c=7.815 alpha=90.00 beta=90.00 gamma=90.00
Space group F-43m (No. 216)
Inequivalent atoms, fractional coordinates:
La (0.000, 0.000, 0.000) (multiplicity 4)
Nd (0.000, 0.000, 0.500) (multiplicity 4)
In (0.250, 0.250, 0.250) (multiplicity 4)
Hg (0.250, 0.250, 0.750) (multiplicity 4)

Record 6
CoOs2Cl: relaxed, GGA-PBE.

E_form (uncorrected) = 1.5769 eV/atom
Distance to the lowest polymorph of the same formula = 1106 meV/atom
Size of the total moment = 0.000 μB/cell

Unit cell a=5.092 b=5.092 c=11.054 alpha=90.00 beta=90.00 gamma=90.00
Space group I-42d (No. 122)
Inequivalent atoms, fractional coordinates:
Co (0.000, 0.000, 0.000) (multiplicity 4)
Os (0.246, 0.250, 0.625) (multiplicity 8)
Cl (0.000, 0.000, 0.500) (multiplicity 4)

Record 7
LiEr4Ru3: relaxed, GGA-PBE.

Energy = -50.99 eV per formula unit
Size of the total moment = 0.000 μB/cell

Unit cell a=4.795 b=4.795 c=13.782 alpha=90.00 beta=90.00 gamma=90.00
Space group I4/mmm (No. 139)
Inequivalent atoms, fractional coordinates:
Li (0.000, 0.000, 0.000) (multiplicity 2)
Er (0.000, 0.500, 0.130) (multiplicity 8)
Ru (0.000, 0.000, 0.248) (multiplicity 4)
Ru (0.000, 0.000, 0.500) (multiplicity 2)

Record 8
CeAsH2Rh2: relaxed, GGA-PBE.

Energy = -34.98 eV per formula unit
Size of the total moment = 0.814 μB/cell

Unit cell a=5.245 b=5.563 c=6.153 alpha=90.00 beta=101.00 gamma=90.00
Space group P2_1/m (No. 11)
Inequivalent atoms, fractional coordinates:
Ce (0.214, 0.250, 0.313) (multiplicity 2)
As (0.266, 0.750, 0.104) (multiplicity 2)
H (0.134, 0.250, 0.678) (multiplicity 2)
H (0.252, 0.750, 0.600) (multiplicity 2)
Rh (0.329, 0.002, 0.785) (multiplicity 4)

Record 9
VCl3: relaxed, GGA-PBE.

E_form (uncorrected) = -0.6642 eV/atom
Size of the total moment = 10.541 μB/cell

Unit cell a=3.5212 b=3.5212 c=29.1255 alpha=90.00 beta=90.00 gamma=120.00
Space group R-3m (No. 166, hexagonal axes)
Inequivalent atoms, fractional coordinates:
V (0.0000, 0.0000, 0.0000) (multiplicity 3)
Cl (0.0000, 0.0000, 0.3806) (multiplicity 6)
Cl (0.0000, 0.0000, 0.5000) (multiplicity 3)

Record 10
SbAsRu2Pb: relaxed, GGA-PBE.

E_form (uncorrected) = 1.9276 eV/atom
Size of the total moment = 2.796 μB/cell

Unit cell a=5.032 b=5.032 c=5.615 alpha=90.00 beta=90.00 gamma=90.00
Space group P4/mmm (No. 123)
Inequivalent atoms, fractional coordinates:
Sb (0.000, 0.000, 0.000) (multiplicity 1)
As (0.500, 0.500, 0.000) (multiplicity 1)
Ru (0.000, 0.500, 0.500) (multiplicity 2)
Pb (0.000, 0.000, 0.500) (multiplicity 1)

Record 11
Tb3CdNi: relaxed, GGA-PBE.

Distance to the lowest polymorph of the same formula = 0 meV/atom
Size of the total moment = 0.000 μB/cell

Unit cell a=8.414 b=3.803 c=8.917 alpha=90.00 beta=113.84 gamma=90.00
Space group P2_1/m (No. 11)
Inequivalent atoms, fractional coordinates:
Tb (0.013, 0.250, 0.172) (multiplicity 2)
Tb (0.226, 0.750, 0.549) (multiplicity 2)
Tb (0.375, 0.750, 0.213) (multiplicity 2)
Cd (0.312, 0.250, 0.896) (multiplicity 2)
Ni (0.397, 0.250, 0.440) (multiplicity 2)

Record 12
Rb5Sn2Bi4: relaxed, GGA-PBE.

Energy = -30.10 eV per formula unit
Size of the total moment = 0.000 μB/cell

Unit cell a=24.943 b=4.098 c=10.944 alpha=90.00 beta=115.91 gamma=90.00
Space group C2/m (No. 12)
Inequivalent atoms, fractional coordinates:
Rb (0.000, 0.000, 0.000) (multiplicity 2)
Rb (0.163, 0.500, 0.392) (multiplicity 4)
Rb (0.163, 0.500, 0.936) (multiplicity 4)
Sn (0.071, 0.000, 0.572) (multiplicity 4)
Bi (0.000, 0.500, 0.312) (multiplicity 4)
Bi (0.209, 0.000, 0.709) (multiplicity 4)